Compound: NaPr2ScS4
Source: Alexandria
Functional: GGA-PBE
Structure: relaxed

For the calculated total energy, the calculation gives -6.0427 eV/atom. The energy relative to the elements, uncorrected is -1.83 eV/atom.

It has space group P2/m (No. 10), with a = 6.834 Å, b = 3.975 Å, c = 6.947 Å, α = 90.00°, β = 109.25° and γ = 90.00°. The inequivalent atoms are Na at (0.000, 0.000, 0.000), Pr at (0.500, 0.000, 0.500), Pr at (0.500, 0.500, 0.000), Sc at (0.000, 0.500, 0.500), S at (0.225, 0.000, 0.733) and S at (0.234, 0.500, 0.257).


Compound: NaPrSiS4
Source: Alexandria
Functional: GGA-PBE
Structure: relaxed

For the calculated total energy, the calculation gives -5.3494 eV/atom. The energy relative to the elements, uncorrected is -1.34 eV/atom.

It has space group P2_1/m (No. 11), with a = 6.554 Å, b = 6.586 Å, c = 8.117 Å, α = 90.00°, β = 104.98° and γ = 90.00°. The inequivalent atoms are Na at (0.247, 0.250, 0.441), Pr at (0.273, 0.250, 0.946), Si at (0.269, 0.750, 0.195), S at (0.066, 0.750, 0.357), S at (0.105, 0.750, 0.930) and S at (0.484, 0.001, 0.240).


Compound: NaPr3Sm2S6
Source: Alexandria
Functional: GGA-PBE
Structure: relaxed

For the calculated total energy, the calculation gives -6.1047 eV/atom. The energy relative to the elements, uncorrected is -1.95 eV/atom.

It has space group C2/m (No. 12), with a = 7.016 Å, b = 12.181 Å, c = 7.062 Å, α = 90.00°, β = 109.46° and γ = 90.00°. The inequivalent atoms are Na at (0.000, 0.000, 0.000), Pr at (0.000, 0.164, 0.500), Pr at (0.000, 0.500, 0.500), Sm at (0.000, 0.334, 0.000), S at (0.247, 0.500, 0.238) and S at (0.248, 0.167, 0.243).


Compound: Na4PrSm3S8
Source: Alexandria
Functional: GGA-PBE
Structure: relaxed

For the calculated total energy, the calculation gives -5.3830 eV/atom. The energy relative to the elements, uncorrected is -1.81 eV/atom.

It has space group R-3m (No. 166, hexagonal axes), with a = 8.2016 Å, b = 8.2016 Å, c = 20.0714 Å, α = 90.00°, β = 90.00° and γ = 120.00°. The inequivalent atoms are Na at (0.0000, 0.0000, 0.0000), Na at (0.0000, 0.5000, 0.0000), Pr at (0.0000, 0.0000, 0.5000), Sm at (0.0000, 0.5000, 0.5000), S at (0.0000, 0.0000, 0.2435) and S at (0.0043, 0.5021, 0.7559).


Compound: NaPrSm2S4
Source: Alexandria
Functional: GGA-PBE
Structure: relaxed

For the calculated total energy, the calculation gives -5.9252 eV/atom. The energy relative to the elements, uncorrected is -1.92 eV/atom.

It has space group P2/m (No. 10), with a = 7.018 Å, b = 4.031 Å, c = 7.037 Å, α = 90.00°, β = 109.15° and γ = 90.00°. The inequivalent atoms are Na at (0.000, 0.000, 0.000), Pr at (0.500, 0.500, 0.000), Sm at (0.000, 0.500, 0.500), Sm at (0.500, 0.000, 0.500), S at (0.245, 0.000, 0.744) and S at (0.252, 0.500, 0.258).


Compound: NaPrSm4S8
Source: Alexandria
Functional: GGA-PBE
Structure: relaxed

For the calculated total energy, the calculation gives -6.0622 eV/atom. The energy relative to the elements, uncorrected is -1.92 eV/atom.

It has space group R3m (No. 160, hexagonal axes), with a = 8.2847 Å, b = 8.2847 Å, c = 20.4830 Å, α = 90.00°, β = 90.00° and γ = 120.00°. The inequivalent atoms are Na at (0.0000, 0.0000, 0.0000), Pr at (0.0000, 0.0000, 0.6296), Sm at (0.0000, 0.0000, 0.2513), Sm at (0.1722, 0.3444, 0.4577), S at (0.0000, 0.0000, 0.3839), S at (0.0000, 0.0000, 0.8645), S at (0.0265, 0.5132, 0.3810) and S at (0.1758, 0.3517, 0.2051).


Compound: Na3Pr3SnS8
Source: Alexandria
Functional: GGA-PBE
Structure: relaxed

For the calculated total energy, the calculation gives -5.1611 eV/atom. The energy relative to the elements, uncorrected is -1.47 eV/atom.

It has space group R-3m (No. 166, hexagonal axes), with a = 8.1979 Å, b = 8.1979 Å, c = 20.2328 Å, α = 90.00°, β = 90.00° and γ = 120.00°. The inequivalent atoms are Na at (0.0000, 0.5000, 0.0000), Pr at (0.0000, 0.5000, 0.5000), Sn at (0.0000, 0.0000, 0.5000), S at (0.0000, 0.0000, 0.2442) and S at (0.0282, 0.5141, 0.2408).


Compound: NaSr2PrS4
Source: Alexandria
Functional: GGA-PBE
Structure: relaxed

For the calculated total energy, the calculation gives -5.1815 eV/atom. The energy relative to the elements, uncorrected is -1.94 eV/atom.

It has space group P2/m (No. 10), with a = 7.250 Å, b = 4.229 Å, c = 7.253 Å, α = 90.00°, β = 108.75° and γ = 90.00°. The inequivalent atoms are Na at (0.000, 0.000, 0.000), Sr at (0.000, 0.500, 0.500), Sr at (0.500, 0.000, 0.500), Pr at (0.500, 0.500, 0.000), S at (0.259, 0.000, 0.762) and S at (0.259, 0.500, 0.245).


Compound: NaSrPr2S4
Source: Alexandria
Functional: GGA-PBE
Structure: relaxed

For the calculated total energy, the calculation gives -5.5528 eV/atom. The energy relative to the elements, uncorrected is -1.92 eV/atom.

It has space group Imma (No. 74), with a = 8.314 Å, b = 8.336 Å, c = 11.758 Å, α = 90.00°, β = 90.00° and γ = 90.00°. The inequivalent atoms are Na at (0.000, 0.000, 0.000), Sr at (0.250, 0.250, 0.250), Pr at (0.000, 0.000, 0.500), Pr at (0.250, 0.250, 0.750), S at (0.000, 0.007, 0.748) and S at (0.243, 0.250, 0.504).


Compound: NaSr3Pr2S6
Source: Alexandria
Functional: GGA-PBE
Structure: relaxed

For the calculated total energy, the calculation gives -5.3744 eV/atom. The energy relative to the elements, uncorrected is -1.98 eV/atom.

It has space group C2/m (No. 12), with a = 7.263 Å, b = 12.571 Å, c = 7.272 Å, α = 90.00°, β = 109.40° and γ = 90.00°. The inequivalent atoms are Na at (0.000, 0.000, 0.000), Sr at (0.000, 0.164, 0.500), Sr at (0.000, 0.500, 0.500), Pr at (0.000, 0.333, 0.000), S at (0.240, 0.500, 0.240) and S at (0.249, 0.330, 0.759).


Compound: Na4Tb3PrS8
Source: Alexandria
Functional: GGA-PBE
Structure: relaxed

For the calculated total energy, the calculation gives -5.3858 eV/atom. The energy relative to the elements, uncorrected is -1.83 eV/atom.

It has space group R-3m (No. 166, hexagonal axes), with a = 8.0924 Å, b = 8.0924 Å, c = 20.0638 Å, α = 90.00°, β = 90.00° and γ = 120.00°. The inequivalent atoms are Na at (0.0000, 0.0000, 0.0000), Na at (0.0000, 0.5000, 0.0000), Tb at (0.0000, 0.5000, 0.5000), Pr at (0.0000, 0.0000, 0.5000), S at (0.0000, 0.0000, 0.2421) and S at (0.0081, 0.5040, 0.7566).


Compound: NaTbPr2S4
Source: Alexandria
Functional: GGA-PBE
Structure: relaxed

For the calculated total energy, the calculation gives -5.9069 eV/atom. The energy relative to the elements, uncorrected is -1.90 eV/atom.

It has space group P2/m (No. 10), with a = 7.007 Å, b = 4.037 Å, c = 7.017 Å, α = 90.00°, β = 109.23° and γ = 90.00°. The inequivalent atoms are Na at (0.000, 0.000, 0.000), Tb at (0.500, 0.500, 0.000), Pr at (0.000, 0.500, 0.500), Pr at (0.500, 0.000, 0.500), S at (0.254, 0.500, 0.243) and S at (0.257, 0.000, 0.763).


Compound: NaTb2Pr3S6
Source: Alexandria
Functional: GGA-PBE
Structure: relaxed

For the calculated total energy, the calculation gives -6.0880 eV/atom. The energy relative to the elements, uncorrected is -1.95 eV/atom.

It has space group C2/m (No. 12), with a = 6.948 Å, b = 12.062 Å, c = 7.033 Å, α = 90.00°, β = 109.33° and γ = 90.00°. The inequivalent atoms are Na at (0.000, 0.000, 0.000), Tb at (0.000, 0.334, 0.000), Pr at (0.000, 0.163, 0.500), Pr at (0.000, 0.500, 0.500), S at (0.242, 0.500, 0.232) and S at (0.248, 0.169, 0.238).


Compound: Na4TbPr3S8
Source: Alexandria
Functional: GGA-PBE
Structure: relaxed

For the calculated total energy, the calculation gives -5.3723 eV/atom. The energy relative to the elements, uncorrected is -1.79 eV/atom.

It has space group R-3m (No. 166, hexagonal axes), with a = 8.2531 Å, b = 8.2531 Å, c = 20.1042 Å, α = 90.00°, β = 90.00° and γ = 120.00°. The inequivalent atoms are Na at (0.0000, 0.0000, 0.0000), Na at (0.0000, 0.5000, 0.0000), Tb at (0.0000, 0.0000, 0.5000), Pr at (0.0000, 0.5000, 0.5000), S at (0.0000, 0.0000, 0.2453) and S at (0.0083, 0.5041, 0.2439).


Compound: NaTb2PrS4
Source: Alexandria
Functional: GGA-PBE
Structure: relaxed

For the calculated total energy, the calculation gives -5.9100 eV/atom. The energy relative to the elements, uncorrected is -1.93 eV/atom.

It has space group P2/m (No. 10), with a = 6.937 Å, b = 3.974 Å, c = 6.981 Å, α = 90.00°, β = 109.00° and γ = 90.00°. The inequivalent atoms are Na at (0.000, 0.000, 0.000), Tb at (0.000, 0.500, 0.500), Tb at (0.500, 0.000, 0.500), Pr at (0.500, 0.500, 0.000), S at (0.242, 0.000, 0.738) and S at (0.253, 0.500, 0.263).


Compound: Na3Tb2PrS6
Source: Alexandria
Functional: GGA-PBE
Structure: relaxed

For the calculated total energy, the calculation gives -5.3844 eV/atom. The energy relative to the elements, uncorrected is -1.82 eV/atom.

It has space group C2/m (No. 12), with a = 7.031 Å, b = 12.179 Å, c = 7.090 Å, α = 90.00°, β = 109.31° and γ = 90.00°. The inequivalent atoms are Na at (0.000, 0.000, 0.000), Na at (0.000, 0.333, 0.000), Tb at (0.000, 0.167, 0.500), Pr at (0.000, 0.500, 0.500), S at (0.234, 0.000, 0.730) and S at (0.248, 0.329, 0.729).


Compound: Na2PrTeS4
Source: Alexandria
Functional: GGA-PBE
Structure: relaxed

For the calculated total energy, the calculation gives -4.4318 eV/atom. The energy relative to the elements, uncorrected is -1.05 eV/atom.

It has space group C2/c (No. 15), with a = 11.527 Å, b = 11.349 Å, c = 8.211 Å, α = 90.00°, β = 131.57° and γ = 90.00°. The inequivalent atoms are Na at (0.000, 0.000, 0.000), Na at (0.250, 0.250, 0.000), Pr at (0.000, 0.500, 0.000), Te at (0.250, 0.250, 0.500), S at (0.036, 0.250, 0.527) and S at (0.234, 0.488, 0.472).


Compound: Na3Pr3TeS8
Source: Alexandria
Functional: GGA-PBE
Structure: relaxed

For the calculated total energy, the calculation gives -5.0415 eV/atom. The energy relative to the elements, uncorrected is -1.41 eV/atom.

It has space group R-3m (No. 166, hexagonal axes), with a = 8.2470 Å, b = 8.2470 Å, c = 20.1617 Å, α = 90.00°, β = 90.00° and γ = 120.00°. The inequivalent atoms are Na at (0.0000, 0.5000, 0.0000), Pr at (0.0000, 0.5000, 0.5000), Te at (0.0000, 0.0000, 0.5000), S at (0.0000, 0.0000, 0.2446) and S at (0.0206, 0.5103, 0.2414).


Compound: Na3Pr2TiS6
Source: Alexandria
Functional: GGA-PBE
Structure: relaxed

For the calculated total energy, the calculation gives -5.4229 eV/atom. The energy relative to the elements, uncorrected is -1.57 eV/atom.

It has space group C2/m (No. 12), with a = 6.924 Å, b = 11.947 Å, c = 7.086 Å, α = 90.00°, β = 108.96° and γ = 90.00°. The inequivalent atoms are Na at (0.000, 0.000, 0.000), Na at (0.000, 0.334, 0.000), Pr at (0.000, 0.168, 0.500), Ti at (0.000, 0.500, 0.500), S at (0.226, 0.500, 0.281) and S at (0.230, 0.348, 0.728).


Compound: Na2PrTmS4
Source: Alexandria
Functional: GGA-PBE
Structure: relaxed

For the calculated total energy, the calculation gives -5.3558 eV/atom. The energy relative to the elements, uncorrected is -1.81 eV/atom.

It has space group P2/m (No. 10), with a = 7.019 Å, b = 4.048 Å, c = 7.089 Å, α = 90.00°, β = 109.25° and γ = 90.00°. The inequivalent atoms are Na at (0.000, 0.000, 0.000), Na at (0.500, 0.500, 0.000), Pr at (0.000, 0.500, 0.500), Tm at (0.500, 0.000, 0.500), S at (0.256, 0.000, 0.732) and S at (0.270, 0.500, 0.274).